Entry 1:
This record from Alexandria via LeMat-Bulk describes a relaxed RbIr3Br crystal. The functional is PBE.

- Distance to the lowest polymorph of the same formula: 0 kJ/mol of formula units
- V: 111.0 Å³ per cell

Cell: 4.8061 4.8061 4.8061 Å, 90.00 90.00 90.00°
With the nearest neighbours (Å) after each atom.
Atoms (fractional coordinates):
Rb1 0.0000 0.0000 0.0000  12 Ir 3.40
Ir1 0.0000 0.5000 0.5000  2 Br 2.40
Ir2 0.5000 0.0000 0.5000  2 Br 2.40
Ir3 0.5000 0.5000 0.0000  2 Br 2.40
Br1 0.5000 0.5000 0.5000  6 Ir 2.40

***

Entry 2:
This record from Alexandria via LeMat-Bulk describes a relaxed RbIr2Br crystal. The functional is PBE.

- Distance to the lowest polymorph of the same formula: 428 kJ/mol of formula units
- V: 82.7 Å³ per cell

Cell: 4.8908 4.8908 4.8908 Å, 60.00 60.00 60.00°
With the nearest neighbours (Å) after each atom.
Atoms (fractional coordinates):
Rb1 0.0000 0.0000 0.0000  8 Ir 2.99
Ir1 0.2500 0.2500 0.2500  4 Br 2.99, 4 Rb 2.99
Ir2 0.7500 0.7500 0.7500  4 Br 2.99, 4 Rb 2.99
Br1 0.5000 0.5000 0.5000  8 Ir 2.99

***

Entry 3:
This record from Alexandria via LeMat-Bulk describes a relaxed RbIrBr2 crystal. The functional is PBE.

- Distance to the lowest polymorph of the same formula: 102 kJ/mol of formula units
- V: 134.2 Å³ per cell

Cell: 9.3435 9.3435 9.3435 Å, 25.61 25.61 25.61°
With the nearest neighbours (Å) after each atom.
Atoms (fractional coordinates):
Rb1 0.0000 0.0000 0.0000  2 Br 3.30
Ir1 0.5000 0.5000 0.5000  6 Br 2.68
Br1 0.1219 0.1219 0.1219  3 Ir 2.68
Br2 0.8781 0.8781 0.8781  3 Ir 2.68

***

| no. | raw formation energy (eV/atom) |
| --- | --- |
| 1 | 1.75 |
| 2 | 1.84 |
| 3 | 0.15 |